A relaxed structure of BaSnBr2, computed with GGA-PBE.

Lattice parameters (Å, degrees): 11.0058 11.0058 11.0058 21.87 21.87 21.87
Closest atoms and distances in Å follow each position.
Fractional coordinates of all 4 atoms:
Br 0.9015 0.9015 0.9015  1 Ba 3.17, 3 Sn 3.26
Br 0.0985 0.0985 0.0985  1 Ba 3.17, 3 Sn 3.26
Ba 0.0000 0.0000 0.0000  2 Br 3.17
Sn 0.5000 0.5000 0.5000  6 Br 3.26

Results
**Density of states at the Fermi level**: 4.2 states/eV per cell
**Excess energy over the best structure of this formula in the dataset**: 379 meV per atom
**Energy relative to the elements, uncorrected**: -0.583 eV/atom